First-principles (PBE) data for crystalline Pu4ZnPd4 at its relaxed geometry, as listed in Alexandria via LeMat-Bulk.

Computed properties:
E = -8.908 eV/atom
Space-group type = I4/mmm

a b c (Å): 6.203 6.203 6.203
angles (deg): 98.87 98.87 133.75
Element x y z (fractional)
Pu  0.147  0.147  0.293
Pu  0.147  0.853  0.000
Pu  0.853  0.147  0.000
Pu  0.853  0.853  0.707
Zn  0.500  0.500  0.000
Pd  0.165  0.500  0.665
Pd  0.500  0.165  0.665
Pd  0.500  0.835  0.335
Pd  0.835  0.500  0.335

=====

First-principles (PBE) data for crystalline PuZnPd at its relaxed geometry, as listed in Alexandria via LeMat-Bulk.

Computed properties:
E = -7.349 eV/atom
Space-group type = Imma

a b c (Å): 5.420 5.420 5.420
angles (deg): 120.96 117.56 91.31
Element x y z (fractional)
Pu  0.383  0.133  0.250
Pu  0.617  0.867  0.750
Zn  0.000  0.000  0.500
Zn  0.000  0.500  0.000
Pd  0.000  0.500  0.500
Pd  0.500  0.500  0.000

=====

First-principles (PBE) data for crystalline PuZrZn2Pd2 at its relaxed geometry, as listed in Alexandria via LeMat-Bulk.

Computed properties:
E = -6.437 eV/atom
Space-group type = P-3m1

a b c (Å): 4.563 4.563 6.128
angles (deg): 90.00 90.00 120.00
Element x y z (fractional)
Pu  0.000  0.000  0.000
Zr  0.000  0.000  0.500
Zn  0.333  0.667  0.720
Zn  0.667  0.333  0.280
Pd  0.333  0.667  0.270
Pd  0.667  0.333  0.730

=====

no.,E_form (eV/atom)
1,-0.09
2,-0.42
3,-0.47